Density functional theory data (PBE with a Hubbard U) for CdCoSeO after structural relaxation.

For the relative energy among the computed polymorphs, the calculation gives 0.28 eV/f.u.

It has space group P6_3mc (No. 186), with a = 3.7819 Å, b = 3.7819 Å, c = 11.5714 Å, α = 90.00°, β = 90.00° and γ = 120.00°. The inequivalent atoms are Cd at (0.3333, 0.6667, 0.0000), Co at (0.0000, 0.0000, 0.2735), Se at (0.3333, 0.6667, 0.6792) and O at (0.0000, 0.0000, 0.4373).